! Dy2GaSi4Rh3 | the Alexandria database | GGA-PBE | optimized geometry; values from VASP
&SYSTEM
  ibrav = 0, nat = 10, ntyp = 4
/
ATOMIC_SPECIES
Si 28.09 Si.upf
Dy 162.50 Dy.upf
Rh 102.91 Rh.upf
Ga 69.72 Ga.upf
CELL_PARAMETERS angstrom
-2.893 -1.370 -2.539
-2.424 -0.795 3.191
-3.880 9.343 -0.619
ATOMIC_POSITIONS angstrom
Si 0.000 0.000 0.000
Si -3.951 5.345 -1.669
Si -2.588 2.916 1.376
Si -2.659 -1.083 0.326
Dy -2.385 1.575 -1.419
Dy -4.154 6.686 1.126
Rh -1.940 4.672 -0.309
Rh -4.847 7.504 -1.812
Rh -1.692 0.757 1.519
Ga -4.599 3.589 0.017
! E_form (uncorrected) in kJ/mol of atoms: -87
! Symmetry: P-4m2 (115)